Entry 1:
## Th8FePd2 (PBE-GGA)

Data for a relaxed Th8FePd2 crystal.

Summary:
- Crystal system: monoclinic
- Formation energy: -0.27 eV/atom

Cell lengths 3.775, 8.944, 9.351 Å; angles 94.27, 101.65, 90.00 degrees
Fractional coordinates of all 11 atoms:
1 Th 0.012 0.203 0.025
2 Th 0.214 0.339 0.429
3 Fe 0.500 0.000 0.000
4 Th 0.410 0.480 0.819
5 Th 0.341 0.000 0.682
6 Th 0.659 0.000 0.318
7 Pd 0.168 0.741 0.337
8 Th 0.786 0.661 0.571
9 Pd 0.832 0.259 0.663
10 Th 0.988 0.797 0.975
11 Th 0.590 0.520 0.181

=====

Entry 2:
## Ac4SiBi2Se (PBE-GGA)

Data for a relaxed Ac4SiBi2Se crystal.

Summary:
- Crystal system: monoclinic
- Energy relative to the elements, uncorrected: -1.1053 eV/atom

Cell lengths 4.706, 8.131, 8.197 Å; angles 109.31, 90.00, 90.00 degrees
Fractional coordinates of all 8 atoms:
1 Ac 0.500 0.762 0.769
2 Bi 0.000 0.500 0.500
3 Ac 0.000 0.754 0.235
4 Bi 0.500 0.000 0.500
5 Se 0.500 0.500 0.000
6 Ac 0.500 0.238 0.231
7 Si 0.000 0.000 0.000
8 Ac 0.000 0.246 0.765

=====

Entry 3:
## Cr5Cl (PBE-GGA)

Data for a relaxed Cr5Cl crystal.

Summary:
- Crystal system: orthorhombic
- Energy above the lowest structure with this stoichiometry: 0.010 eV/atom
- Energy relative to the elements, uncorrected: 0.4766 eV/atom

Cell lengths 6.423, 6.423, 4.373 Å; angles 90.00, 90.00, 153.96 degrees
Site moments in Bohr magnetons follow the coordinates.
Fractional coordinates of all 6 atoms:
1 Cr 0.776 0.224 0.500  0.70
2 Cr 0.418 0.582 0.500  -1.43
3 Cr 0.323 0.677 0.000  1.21
4 Cr 0.684 0.316 0.000  -1.06
5 Cl 0.025 0.975 0.000  -0.02
6 Cr 0.107 0.893 0.500  1.75

=====

Entry 4:
## Th2Sb2Se7 (PBE-GGA)

Data for a relaxed Th2Sb2Se7 crystal.

Summary:
- Crystal system: orthorhombic
- Energy relative to the elements, uncorrected: -0.9998 eV/atom

Cell lengths 4.203, 9.504, 9.504 Å; angles 57.71, 77.23, 77.23 degrees
Fractional coordinates of all 11 atoms:
1 Se 0.601 0.530 0.268
2 Se 0.188 0.699 0.925
3 Se 0.125 0.170 0.581
4 Se 0.500 0.026 0.974
5 Th 0.000 0.808 0.192
6 Sb 0.232 0.286 0.250
7 Th 0.500 0.358 0.642
8 Se 0.399 0.732 0.470
9 Se 0.875 0.419 0.830
10 Sb 0.768 0.750 0.714
11 Se 0.812 0.075 0.301

=====

Entry 5:
## CaLa3Te4 (PBE-GGA)

Data for a relaxed CaLa3Te4 crystal.

Summary:
- Crystal system: orthorhombic
- Energy above the lowest structure with this stoichiometry: 0.000 eV/atom
- Energy relative to the elements, uncorrected: -1.5862 eV/atom

Cell lengths 4.542, 7.922, 7.922 Å; angles 109.16, 90.00, 90.00 degrees
Fractional coordinates of all 8 atoms:
1 La 0.500 0.500 0.500
2 Ca 0.500 0.000 0.000
3 Te 0.000 0.757 0.757
4 Te 0.500 0.754 0.246
5 La 0.000 0.500 0.000
6 Te 0.500 0.246 0.754
7 Te 0.000 0.243 0.243
8 La 0.000 0.000 0.500

=====

Entry 6:
## CrTe2PdSe (PBE-GGA)

Data for a relaxed CrTe2PdSe crystal.

Summary:
- Crystal system: tetragonal
- Energy relative to the elements, uncorrected: 0.6507 eV/atom

Cell lengths 5.560, 4.640, 5.560 Å; angles 90.00, 90.00, 90.00 degrees
Site moments in Bohr magnetons follow the coordinates.
Fractional coordinates of all 5 atoms:
1 Se 0.000 0.000 0.000  0.02
2 Te 0.500 0.000 0.000  -0.12
3 Cr 0.500 0.500 0.500  4.11
4 Te 0.000 0.000 0.500  -0.18
5 Pd 0.000 0.500 0.000  0.02

=====

Entry 7:
## ZrIr2Rh (PBE-GGA)

Data for a relaxed ZrIr2Rh crystal.

Summary:
- Crystal system: tetragonal
- Formation energy: -0.22 eV/atom

Cell lengths 2.836, 2.836, 7.956 Å; angles 90.00, 90.00, 90.00 degrees
Fractional coordinates of all 4 atoms:
1 Ir 0.500 0.500 0.249
2 Ir 0.000 0.000 0.017
3 Zr 0.500 0.500 0.748
4 Rh 0.000 0.000 0.485

=====

Entry 8:
## Tb2DyRh9 (PBE-GGA)

Data for a relaxed Tb2DyRh9 crystal.

Summary:
- Crystal system: trigonal
- Formation energy: -0.56 eV/atom

Cell lengths 5.259, 5.259, 9.302 Å; angles 73.58, 73.58, 60.00 degrees
Fractional coordinates of all 12 atoms:
1 Rh 0.918 0.417 0.247
2 Tb 0.139 0.139 0.584
3 Rh 0.082 0.583 0.753
4 Rh 0.583 0.583 0.753
5 Rh 0.333 0.333 0.001
6 Rh 0.417 0.417 0.247
7 Rh 0.583 0.082 0.753
8 Rh 0.667 0.667 0.999
9 Rh 0.500 0.500 0.500
10 Dy 0.000 0.000 0.000
11 Rh 0.417 0.918 0.247
12 Tb 0.861 0.861 0.416